VASP calculation (GGA-PBEsol) on a relaxed MnSbBr2 crystal.

Values from the calculation:
ρ: 5.21 g/cm³
Total magnetic moment: 4.764 μB/cell
Excess energy over the best structure of this formula in the dataset: 0.172 eV/atom
Total energy: -18.0 eV per cell
Energy relative to the elements, uncorrected: 27 meV per atom

```
MnSbBr2
1.0
-1.2646 0.5119 2.9210
-0.7877 -3.1194 0.2056
9.1568 -2.0277 4.3194
Br Sb Mn
2 1 1
Direct
0.0000 0.0000 0.8420 Br
0.0000 0.0000 0.1580 Br
0.5000 0.5000 0.5000 Sb
0.5000 0.5000 0.0000 Mn
```